This record from the Alexandria database describes Be2MoPt3 after structural relaxation. The functional is PBE-GGA.

Unit cell a=2.7943 b=2.7943 c=9.8792 alpha=90.00 beta=90.00 gamma=90.00
Closest atoms and distances in Å follow each position.
Element x y z (fractional)
1 Be 0.5000 0.5000 0.8509  8 Pt 2.44-2.46
2 Be 0.5000 0.5000 0.1491  8 Pt 2.44-2.46
3 Mo 0.5000 0.5000 0.5000  4 Mo 2.79, 8 Pt 2.84
4 Pt 0.0000 0.0000 0.0000  8 Be 2.46
5 Pt 0.0000 0.0000 0.7065  4 Be 2.44
6 Pt 0.0000 0.0000 0.2935  4 Be 2.44

Calculated total energy: -6.6779 eV/atom
DOS(E_F): 0.62 states/eV/atom
Volume: 12.86 Å³/atom
Space group: P4/mmm, No. 123



This record from the Alexandria database describes KMn2Zn after structural relaxation. The functional is PBE-GGA.

Unit cell a=5.2369 b=5.2369 c=9.4999 alpha=74.00 beta=74.00 gamma=90.00
Closest atoms and distances in Å follow each position.
Element x y z (fractional)
1 Zn 0.0000 0.0000 0.0000  4 Mn 2.55
2 Zn 0.7500 0.2500 0.5000  4 Mn 2.55
3 Mn 0.8748 0.1250 0.2500  2 Zn 2.55, 2 Mn 2.62
4 Mn 0.8752 0.6250 0.2500  2 Zn 2.55, 2 Mn 2.62
5 Mn 0.3750 0.1252 0.7500  2 Zn 2.55, 2 Mn 2.62
6 Mn 0.8750 0.1248 0.7500  2 Zn 2.55, 2 Mn 2.62
7 K 0.5000 0.5000 0.0000  8 Mn 3.65, 4 Zn 3.70
8 K 0.2500 0.7500 0.5000  8 Mn 3.65, 4 Zn 3.70

Calculated total energy: -4.3039 eV/atom
DOS(E_F): 1.40 states/eV/atom
Volume: 29.99 Å³/atom
Space group: I4_1/amd, No. 141



This record from the Alexandria database describes LiDyPd after structural relaxation. The functional is PBE-GGA.

Unit cell a=4.0930 b=7.1429 c=7.1429 alpha=120.00 beta=90.00 gamma=90.00
Closest atoms and distances in Å follow each position.
Element x y z (fractional)
1 Li 0.0000 0.7657 0.7658  4 Pd 2.64-2.80, 2 Li 2.90
2 Li 0.0000 0.0000 0.2342  4 Pd 2.64-2.80, 2 Li 2.90
3 Li 0.0000 0.2342 0.0000  4 Pd 2.64-2.80, 2 Li 2.90
4 Dy 0.5000 0.4119 0.4119  5 Pd 2.94-2.97, 6 Li 3.25-3.27
5 Dy 0.5000 0.0000 0.5881  5 Pd 2.94-2.97, 6 Li 3.25-3.27
6 Dy 0.5000 0.5881 0.0000  5 Pd 2.94-2.97, 6 Li 3.25-3.27
7 Pd 0.0000 0.3333 0.6667  3 Li 2.80, 6 Dy 2.97
8 Pd 0.0000 0.6667 0.3333  3 Li 2.80, 6 Dy 2.97
9 Pd 0.5000 0.0000 0.0000  6 Li 2.64, 3 Dy 2.94

Offset from the most stable computed form: 0 meV/atom
DOS(E_F): 0.63 states/eV/atom
Volume: 20.09 Å³/atom
Space group: P-62m, No. 189



This record from the Alexandria database describes La2Er3Tm8 after structural relaxation. The functional is PBE-GGA.

Unit cell a=5.4212 b=7.5571 c=11.1950 alpha=109.73 beta=90.00 gamma=90.00
Closest atoms and distances in Å follow each position.
Element x y z (fractional)
1 La 0.5000 0.2394 0.4789  8 Tm 3.49-3.66, 2 La 3.80-3.81
2 La 0.5000 0.7606 0.5211  8 Tm 3.49-3.66, 2 La 3.80-3.81
3 Er 0.5000 0.0000 0.0000  4 Tm 3.10
4 Er 0.0000 0.2881 0.0000  3 Er 3.20-3.48, 6 Tm 3.38-3.51
5 Er 0.0000 0.7119 0.0000  3 Er 3.20-3.48, 6 Tm 3.38-3.51
6 Tm 0.0002 0.6564 0.3127  4 Tm 3.33, 2 La 3.49, 2 Er 3.66
7 Tm 0.9998 0.3436 0.6873  4 Tm 3.33, 2 La 3.49, 2 Er 3.66
8 Tm 0.0002 0.1229 0.2458  4 Er 3.38-3.75, 4 Tm 3.49, 2 La 3.66
9 Tm 0.9998 0.8771 0.7542  4 Er 3.38-3.75, 4 Tm 3.49, 2 La 3.66
10 Tm 0.4998 0.6086 0.7891  1 Er 3.10, 3 Tm 3.24-3.33
11 Tm 0.4998 0.1804 0.7891  1 Er 3.10, 3 Tm 3.24-3.33
12 Tm 0.5002 0.8196 0.2109  1 Er 3.10, 3 Tm 3.24-3.33
13 Tm 0.5002 0.3914 0.2109  1 Er 3.10, 3 Tm 3.24-3.33

Calculated total energy: -4.3131 eV/atom
DOS(E_F): 1.68 states/eV/atom
Volume: 33.21 Å³/atom
Space group: Cmmm, No. 65



This record from the Alexandria database describes Nd3HfTl3Te8 after structural relaxation. The functional is PBE-GGA.

Unit cell a=8.9223 b=8.9203 c=9.7569 alpha=117.20 beta=90.00 gamma=120.01
Closest atoms and distances in Å follow each position.
Element x y z (fractional)
1 Nd 0.5000 0.0000 0.5000  6 Te 3.17-3.18
2 Nd 0.5000 0.5000 0.5000  6 Te 3.17-3.18
3 Nd 0.0000 0.5000 0.5000  6 Te 3.17-3.18
4 Hf 0.0000 0.0000 0.5000  6 Te 2.95
5 Tl 0.0000 0.0000 0.0000  6 Te 3.45-3.47
6 Tl 0.0000 0.5000 0.0000  6 Te 3.45-3.47
7 Tl 0.5000 0.5000 0.0000  6 Te 3.45-3.47
8 Te 0.2592 0.5184 0.2776  3 Nd 3.17, 3 Tl 3.45
9 Te 0.7408 0.4816 0.7224  3 Nd 3.17, 3 Tl 3.45
10 Te 0.7760 0.5519 0.2913  1 Hf 2.95, 2 Nd 3.18
11 Te 0.2240 0.4481 0.7087  1 Hf 2.95, 2 Nd 3.18
12 Te 0.7760 0.0153 0.2914  1 Hf 2.95, 2 Nd 3.18
13 Te 0.2240 0.9847 0.7086  1 Hf 2.95, 2 Nd 3.18
14 Te 0.2394 0.0153 0.2914  1 Hf 2.95, 2 Nd 3.18
15 Te 0.7606 0.9847 0.7086  1 Hf 2.95, 2 Nd 3.18

Calculated total energy: -4.7708 eV/atom
DOS(E_F): 0.00 states/eV/atom
Volume: 38.08 Å³/atom
Space group: R-3m, No. 166



This record from the Alexandria database describes LiZrCr after structural relaxation. The functional is PBE-GGA.

Unit cell a=4.2903 b=4.2903 c=4.2903 alpha=60.00 beta=60.00 gamma=60.00
Closest atoms and distances in Å follow each position.
Element x y z (fractional)
1 Cr 0.5000 0.5000 0.5000  4 Li 2.63
2 Li 0.7500 0.7500 0.7500  4 Cr 2.63, 4 Zr 2.63
3 Zr 0.0000 0.0000 0.0000  4 Li 2.63

Offset from the most stable computed form: 553 meV/atom
DOS(E_F): 1.11 states/eV/atom
Volume: 18.61 Å³/atom
Space group: F-43m, No. 216



This record from the Alexandria database describes BaV2Pt after structural relaxation. The functional is PBE-GGA.

Unit cell a=4.7061 b=4.7061 c=9.8527 alpha=76.18 beta=76.18 gamma=90.00
Closest atoms and distances in Å follow each position.
Element x y z (fractional)
1 Ba 0.5000 0.5000 0.0000  4 Pt 3.33, 8 V 3.51
2 Ba 0.2500 0.7500 0.5000  4 Pt 3.33, 8 V 3.51
3 Pt 0.0000 0.0000 0.0000  4 V 2.60
4 Pt 0.7500 0.2500 0.5000  4 V 2.60
5 V 0.8750 0.1250 0.2500  2 V 2.35, 2 Pt 2.60
6 V 0.8750 0.6250 0.2500  2 V 2.35, 2 Pt 2.60
7 V 0.3750 0.1250 0.7500  2 V 2.35, 2 Pt 2.60
8 V 0.8750 0.1250 0.7500  2 V 2.35, 2 Pt 2.60

Offset from the most stable computed form: 0 meV/atom
DOS(E_F): 1.21 states/eV/atom
Volume: 25.67 Å³/atom
Space group: I4_1/amd, No. 141



This record from the Alexandria database describes BeCdSn after structural relaxation. The functional is PBE-GGA.

Unit cell a=5.4902 b=3.3803 c=6.4190 alpha=90.00 beta=95.06 gamma=90.00
Closest atoms and distances in Å follow each position.
Element x y z (fractional)
1 Be 0.3185 0.5139 0.0748  2 Be 2.28
2 Be 0.0394 0.0139 0.0338  2 Be 2.28
3 Sn 0.8027 0.5137 0.2735  3 Be 2.70-2.85, 1 Cd 2.99
4 Sn 0.5560 0.0137 0.8355  3 Be 2.70-2.84, 1 Cd 2.99
5 Cd 0.3254 0.0138 0.3960  3 Be 2.66-2.69
6 Cd 0.0337 0.5138 0.7125  3 Be 2.66-2.69

Calculated total energy: -2.6078 eV/atom
DOS(E_F): 0.34 states/eV/atom
Volume: 19.78 Å³/atom
Space group: P2_1/m, No. 11



- Which formula does entry 5 have?
  Nd3HfTl3Te8



- Among the records above, which one has the lowest volume?
  Be2MoPt3



- Look up the DOS(E_F) of the second one.
  1.40 states/eV/atom